TaPtIN2 at its PBEsol-relaxed geometry, computed with SCAN. Values from VASP.

Spin magnetization, μB per formula unit: 3.12
E_form (uncorrected), meV per atom: 1847

Structure (Quantum ESPRESSO input):
```
&SYSTEM
  ibrav = 0, nat = 5, ntyp = 4
/
ATOMIC_SPECIES
I 126.90 I.upf
N 14.01 N.upf
Pt 195.08 Pt.upf
Ta 180.95 Ta.upf
CELL_PARAMETERS angstrom
3.796 0.000 0.000
0.000 3.796 0.000
0.000 0.000 7.031
ATOMIC_POSITIONS angstrom
I 0.000 0.000 3.515
N 0.000 1.898 0.000
N 1.898 0.000 0.000
Pt 0.000 0.000 0.000
Ta 1.898 1.898 3.515
```

K2NaH6N3 at its PBEsol-relaxed geometry, computed with SCAN. Values from VASP.

Spin magnetization, μB per formula unit: 0.00
VASP energy, eV/cell: -299.56

Structure (Quantum ESPRESSO input):
```
&SYSTEM
  ibrav = 0, nat = 48, ntyp = 4
/
ATOMIC_SPECIES
K 39.10 K.upf
Na 22.99 Na.upf
H 1.01 H.upf
N 14.01 N.upf
CELL_PARAMETERS angstrom
-5.999 -2.070 2.812
0.857 -6.292 -2.804
5.990 -3.673 10.074
ATOMIC_POSITIONS angstrom
K -1.074 -5.099 2.523
K 1.921 -6.936 7.560
K 0.000 0.000 0.000
K 2.995 -1.837 5.037
K 1.325 -3.696 0.106
K 0.891 -3.421 7.950
K 5.522 -6.270 7.165
K -0.901 -2.322 4.936
Na -1.908 -2.821 0.106
Na -3.234 -5.540 -0.097
Na -0.722 -5.523 5.903
Na 1.569 -6.512 4.180
H 0.482 -2.097 2.249
H -2.984 -7.884 2.200
H -0.637 -5.418 9.191
H 4.124 -8.236 5.332
H 0.366 -9.938 7.833
H 3.831 -4.151 7.883
H 1.484 -6.617 0.892
H -3.277 -3.799 4.750
H -1.047 -1.582 2.287
H -2.303 -7.880 0.737
H -1.495 -6.430 8.272
H 4.134 -6.704 4.825
H 1.894 -10.453 7.796
H 3.150 -4.156 9.346
H 2.342 -5.605 1.811
H -3.287 -5.331 5.257
H -3.647 -3.263 1.965
H -0.706 -5.583 -0.630
H -0.521 -8.098 5.831
H 2.158 -4.421 5.579
H 4.494 -8.772 8.118
H 1.554 -6.452 10.712
H 1.369 -3.937 4.252
H -1.310 -7.614 4.504
N -4.077 -3.633 1.099
N -1.066 -4.729 -1.091
N -0.353 -7.786 4.858
N 1.200 -4.249 5.224
N -0.460 -2.341 1.899
N -2.699 -7.237 1.445
N -0.661 -5.818 8.238
N 3.491 -7.433 5.180
N 1.308 -9.694 8.184
N 3.546 -4.798 8.638
N 1.508 -6.217 1.845
N -2.644 -4.602 4.902
```

HoGeRh at its PBEsol-relaxed geometry, computed with SCAN. Values from VASP.

Spin magnetization, μB per formula unit: 0.00
E_form, eV per atom: -1.15

Structure (Quantum ESPRESSO input):
```
&SYSTEM
  ibrav = 0, nat = 12, ntyp = 3
/
ATOMIC_SPECIES
Ho 164.93 Ho.upf
Ge 72.64 Ge.upf
Rh 102.91 Rh.upf
CELL_PARAMETERS angstrom
-3.014 -1.560 -2.562
-2.992 -2.983 5.336
-4.096 6.092 1.109
ATOMIC_POSITIONS angstrom
Ho -6.596 1.573 1.509
Ho -3.506 -0.024 2.374
Ho -8.548 0.759 4.300
Ho -1.554 0.790 -0.417
Ge -4.824 -2.646 1.994
Ge -5.277 4.195 1.889
Ge -4.507 0.597 -0.355
Ge -5.595 0.952 4.238
Rh -3.546 2.602 0.823
Rh -6.556 -1.053 3.060
Rh -6.536 3.333 3.895
Rh -3.566 -1.784 -0.012
```

YInSb2 at its PBEsol-relaxed geometry, computed with SCAN. Values from VASP.

Spin magnetization, μB per formula unit: 0.00
E_form (uncorrected), meV per atom: -225

Structure (Quantum ESPRESSO input):
```
&SYSTEM
  ibrav = 0, nat = 4, ntyp = 3
/
ATOMIC_SPECIES
In 114.82 In.upf
Sb 121.76 Sb.upf
Y 88.91 Y.upf
CELL_PARAMETERS angstrom
3.383 -0.051 0.000
-0.703 3.309 0.000
0.000 0.000 9.458
ATOMIC_POSITIONS angstrom
In 1.340 1.629 2.365
Sb 0.000 0.000 0.232
Sb 1.340 1.629 6.892
Y 0.000 0.000 4.699
```

RbNdMo2O8 at its PBEsol-relaxed geometry, computed with SCAN. Values from VASP.

Spin magnetization, μB per formula unit: 0.00
E_form (uncorrected), meV per atom: -2626

Structure (Quantum ESPRESSO input):
```
&SYSTEM
  ibrav = 0, nat = 24, ntyp = 4
/
ATOMIC_SPECIES
Rb 85.47 Rb.upf
Nd 144.24 Nd.upf
Mo 95.94 Mo.upf
O 16.00 O.upf
CELL_PARAMETERS angstrom
-0.013 6.238 -4.200
2.723 -3.785 -5.900
-4.177 -0.028 -6.558
ATOMIC_POSITIONS angstrom
Rb -0.944 -1.849 -10.487
Rb -0.523 4.274 -6.171
Nd -2.519 3.919 -9.509
Nd 1.051 -1.494 -7.150
Mo -1.303 1.665 -11.991
Mo -0.164 0.760 -4.667
Mo -2.246 0.722 -7.950
Mo 0.779 1.703 -8.708
O -0.294 0.916 -10.784
O -1.174 1.509 -5.874
O -2.850 -0.015 -9.410
O 1.382 2.440 -7.249
O -3.411 2.122 -7.796
O 1.944 0.303 -8.862
O -1.001 3.427 -11.609
O -0.466 -1.002 -5.049
O -3.082 2.194 -11.010
O 1.614 0.231 -5.649
O -1.052 2.334 -8.569
O -0.415 0.091 -8.090
O -0.350 1.387 -13.455
O -1.117 1.038 -3.203
O -2.810 -0.426 -6.728
O 1.343 2.851 -9.930
```

Cs3OsBr at its PBEsol-relaxed geometry, computed with SCAN. Values from VASP.

Spin magnetization, μB per formula unit: 2.13
E_form (uncorrected), meV per atom: 485

Structure (Quantum ESPRESSO input):
```
&SYSTEM
  ibrav = 0, nat = 5, ntyp = 3
/
ATOMIC_SPECIES
Cs 132.91 Cs.upf
Os 190.23 Os.upf
Br 79.90 Br.upf
CELL_PARAMETERS angstrom
6.578 0.000 0.000
0.000 6.578 0.000
0.000 0.000 6.578
ATOMIC_POSITIONS angstrom
Cs 0.000 3.289 0.000
Cs 0.000 0.000 3.289
Cs 3.289 0.000 0.000
Os 3.289 3.289 3.289
Br 0.000 0.000 0.000
```

HfAsClF2 at its PBEsol-relaxed geometry, computed with SCAN. Values from VASP.

Spin magnetization, μB per formula unit: 0.00
E_form (uncorrected), meV per atom: -1062

Structure (Quantum ESPRESSO input):
```
&SYSTEM
  ibrav = 0, nat = 5, ntyp = 4
/
ATOMIC_SPECIES
As 74.92 As.upf
F 19.00 F.upf
Hf 178.49 Hf.upf
Cl 35.45 Cl.upf
CELL_PARAMETERS angstrom
3.976 0.000 0.000
0.000 3.976 0.000
0.000 0.000 5.501
ATOMIC_POSITIONS angstrom
As 0.000 0.000 0.000
F 0.000 1.988 0.000
F 1.988 0.000 0.000
Hf 0.000 0.000 2.751
Cl 1.988 1.988 2.751
```

RbBa2TcN at its PBEsol-relaxed geometry, computed with SCAN. Values from VASP.

Spin magnetization, μB per formula unit: 1.80
E_form (uncorrected), meV per atom: 2156

Structure (Quantum ESPRESSO input):
```
&SYSTEM
  ibrav = 0, nat = 5, ntyp = 4
/
ATOMIC_SPECIES
N 14.01 N.upf
Ba 137.33 Ba.upf
Rb 85.47 Rb.upf
Tc 98.00 Tc.upf
CELL_PARAMETERS angstrom
-0.880 3.958 -2.126
-5.907 -1.617 -0.567
-1.241 2.634 5.417
ATOMIC_POSITIONS angstrom
N -4.014 2.487 1.362
Ba -0.620 1.317 2.709
Ba -2.953 -0.809 -0.283
Rb 0.000 0.000 0.000
Tc -0.440 1.979 -1.063
```